(1)
A relaxed TbY2Zn2Ga2 crystal, computed with PBE.

Properties
Its space group is R-3m (166). The value obtained for the final energy is -29.1 eV for the cell shown. The formation energy is -0.42 eV/atom. Its total magnetization is 0.0 μB per cell.

Cell: 4.433 4.433 9.613 Å, 76.67 76.67 60.00°
Positions (direct):
Tb  0.000  0.000  0.000
Y  0.126  0.126  0.622
Y  0.874  0.874  0.378
Zn  0.604  0.604  0.189
Zn  0.396  0.396  0.811
Ga  0.736  0.736  0.791
Ga  0.264  0.264  0.209

(2)
A relaxed NpAlAu11 crystal, computed with PBE.

Properties
Its space group is C2/m (12). The value obtained for the final energy is -54.2 eV for the cell shown. The formation energy is -0.11 eV/atom. Its total magnetization is 4.2 μB per cell.

Cell: 5.538 7.234 7.250 Å, 82.18 67.55 69.13°
Site moments in Bohr magnetons follow the coordinates.
Positions (direct):
Np  0.000  0.000  0.000  4.06
Al  0.500  0.500  0.000  0.00
Au  0.308  0.218  0.209  0.00
Au  0.692  0.782  0.791  0.00
Au  0.483  0.782  0.209  0.00
Au  0.517  0.218  0.791  0.00
Au  0.343  0.651  0.662  -0.01
Au  0.657  0.349  0.338  -0.01
Au  0.995  0.349  0.662  -0.01
Au  0.005  0.651  0.338  -0.01
Au  0.000  0.500  0.000  0.00
Au  0.500  0.000  0.500  0.00
Au  0.000  0.000  0.500  0.00

(3)
A relaxed LaNiSCl2 crystal, computed with PBE.

Properties
The calculation puts the uncorrected formation energy at -0.65 eV per atom. Its space group is P4/mmm (123). The value obtained for the final energy is -21.8 eV for the cell shown. The energy above the most stable polymorph in this dataset comes out at 0.530 eV/atom. Its total magnetization is 1.1 μB per cell.

Cell: 5.495 5.495 5.606 Å, 90.00 90.00 90.00°
Site moments in Bohr magnetons follow the coordinates.
Positions (direct):
Ni  0.500  0.500  0.500  0.97
S  0.000  0.000  0.500  0.00
Cl  0.000  0.500  0.000  0.00
Cl  0.500  0.000  0.000  0.00
La  0.000  0.000  0.000  0.00

(4)
A relaxed AuIN3 crystal, computed with PBE.

Properties
The calculation puts the uncorrected formation energy at 2.49 eV per atom. Its space group is Pm-3m (221). The value obtained for the final energy is -17.3 eV for the cell shown. Its total magnetization is 1.6 μB per cell.

Cell: 4.122 4.122 4.122 Å, 90.00 90.00 90.00°
Site moments in Bohr magnetons follow the coordinates.
Positions (direct):
I  0.500  0.500  0.500  -0.04
Au  0.000  0.000  0.000  0.11
N  0.000  0.500  0.000  0.32
N  0.000  0.000  0.500  0.29
N  0.500  0.000  0.000  0.47

(5)
A relaxed La3Sm2Sn4 crystal, computed with PBE.

Properties
Its space group is C2/m (12). The value obtained for the final energy is -46.5 eV for the cell shown. The formation energy is -0.69 eV/atom. Its total magnetization is 0.0 μB per cell.

Cell: 5.143 6.947 8.758 Å, 103.80 107.07 90.00°
Positions (direct):
La  0.121  0.573  0.243
La  0.879  0.427  0.757
La  0.000  0.000  0.000
Sm  0.662  0.082  0.325
Sm  0.338  0.918  0.675
Sn  0.497  0.708  0.994
Sn  0.245  0.273  0.490
Sn  0.503  0.292  0.006
Sn  0.755  0.727  0.510

(6)
A relaxed Pr7TeAs5 crystal, computed with PBE.

Properties
The calculation puts the uncorrected formation energy at -1.39 eV per atom. Its space group is C2/m (12). The value obtained for the final energy is -155.7 eV for the cell shown. Its total magnetization is 0.8 μB per cell.

Cell: 4.308 7.448 25.431 Å, 90.02 90.00 106.81°
Site moments in Bohr magnetons follow the coordinates.
Positions (direct):
Pr  0.467  0.934  0.250  0.06
Pr  0.533  0.067  0.750  0.06
Pr  0.637  0.275  0.035  0.00
Pr  0.363  0.727  0.965  0.00
Pr  0.363  0.727  0.535  0.00
Pr  0.637  0.274  0.465  0.00
Pr  0.176  0.352  0.173  0.04
Pr  0.825  0.649  0.827  0.04
Pr  0.825  0.650  0.673  0.04
Pr  0.176  0.351  0.327  0.04
Pr  0.911  0.822  0.104  0.00
Pr  0.090  0.179  0.896  0.00
Pr  0.090  0.179  0.604  0.00
Pr  0.911  0.821  0.396  0.00
Te  0.798  0.597  0.250  0.00
Te  0.202  0.404  0.750  0.00
As  0.000  0.001  0.000  0.00
As  0.728  0.456  0.927  0.00
As  0.273  0.546  0.073  0.00
As  0.544  0.089  0.357  0.00
As  0.456  0.912  0.643  0.00
As  0.000  0.000  0.500  0.00
As  0.273  0.545  0.427  0.00
As  0.728  0.455  0.573  0.00
As  0.456  0.912  0.857  0.00
As  0.545  0.090  0.143  0.00

(7)
A relaxed HfScAl2V crystal, computed with PBE.

Properties
Its space group is P4/mmm (123). The value obtained for the final energy is -31.2 eV for the cell shown. The formation energy is 0.34 eV/atom. Its total magnetization is 0.0 μB per cell.

Cell: 4.817 4.571 4.817 Å, 90.00 90.00 90.00°
Positions (direct):
Sc  0.500  0.500  0.500
Hf  0.000  0.500  0.000
Al  0.000  0.000  0.500
Al  0.500  0.000  0.000
V  0.000  0.000  0.000

(8)
A relaxed Re2BRhCl crystal, computed with PBE.

Properties
The calculation puts the uncorrected formation energy at 2.74 eV per atom. Its space group is P4/mmm (123). The value obtained for the final energy is -27.1 eV for the cell shown. Its total magnetization is 3.9 μB per cell.

Cell: 4.790 4.677 4.790 Å, 90.00 90.00 90.00°
Site moments in Bohr magnetons follow the coordinates.
Positions (direct):
Re  0.000  0.000  0.500  1.71
Re  0.500  0.000  0.000  1.80
B  0.500  0.500  0.500  -0.09
Rh  0.000  0.000  0.000  -0.08
Cl  0.000  0.500  0.000  0.08

> The lowest final energy belongs to which entry?

Pr7TeAs5